Below is crystalline TbScHg at its relaxed geometry, with properties calculated at the PBE level.

Summary:
calculated formation energy: -0.298 eV per atom

Geometry as CIF:
```
data_TbScHg
_cell_length_a 5.032
_cell_length_b 5.025
_cell_length_c 6.934
_cell_angle_alpha 90.00
_cell_angle_beta 90.00
_cell_angle_gamma 120.04
_space_group_name_H-M_alt 'P 1'
_space_group_IT_number 1
loop_
_space_group_symop_operation_xyz
'x,y,z'
loop_
_atom_site_label
_atom_site_fract_x
_atom_site_fract_y
_atom_site_fract_z
_atom_site_occupancy
Tb1 0.000 0.000 0.000 1
Tb2 0.000 0.000 0.500 1
Sc1 0.666 0.333 0.250 1
Sc2 0.334 0.667 0.750 1
Hg1 0.333 0.666 0.250 1
Hg2 0.667 0.334 0.750 1
```

---

Below is crystalline YHgPCl2 at its relaxed geometry, with properties calculated at the PBE level.

Summary:
raw formation energy: -0.139 eV/atom

Geometry as CIF:
```
data_YHgPCl2
_cell_length_a 5.063
_cell_length_b 5.063
_cell_length_c 5.234
_cell_angle_alpha 90.00
_cell_angle_beta 90.00
_cell_angle_gamma 90.00
_space_group_name_H-M_alt 'P 1'
_space_group_IT_number 1
loop_
_space_group_symop_operation_xyz
'x,y,z'
loop_
_atom_site_label
_atom_site_fract_x
_atom_site_fract_y
_atom_site_fract_z
_atom_site_occupancy
Y1 0.500 0.500 0.500 1
P1 0.000 0.000 0.500 1
Hg1 0.000 0.000 0.000 1
Cl1 0.000 0.500 0.000 1
Cl2 0.500 0.000 0.000 1
```

---

Below is crystalline Pr2InRh at its relaxed geometry, with properties calculated at the PBE level.

Summary:
calculated formation energy: -0.412 eV per atom

Geometry as CIF:
```
data_Pr2InRh
_cell_length_a 5.300
_cell_length_b 5.300
_cell_length_c 5.300
_cell_angle_alpha 60.00
_cell_angle_beta 60.00
_cell_angle_gamma 60.00
_space_group_name_H-M_alt 'P 1'
_space_group_IT_number 1
loop_
_space_group_symop_operation_xyz
'x,y,z'
loop_
_atom_site_label
_atom_site_fract_x
_atom_site_fract_y
_atom_site_fract_z
_atom_site_occupancy
Pr1 0.250 0.250 0.250 1
Pr2 0.750 0.750 0.750 1
Rh1 0.500 0.500 0.500 1
In1 0.000 0.000 0.000 1
```

---

Q: Which offset from the most stable computed form values were calculated for the entries above? A: 0.00, 16.48, 3.31, in kcal/mol of atoms.
Q: Which total magnetization values were calculated for the entries above? A: 0.000, 0.000, 0.000, in μB/atom.